(1)
HfNbAs3 | PBE | optimized geometry

Unit cell a=5.0203 b=5.0203 c=5.0203 alpha=90.00 beta=90.00 gamma=90.00
Space group Pm-3m (No. 221)
Asymmetric unit:
Hf  0.0000  0.0000  0.0000 x1
Nb  0.5000  0.5000  0.5000 x1
As  0.0000  0.0000  0.5000 x3

Energy above the most stable polymorph in this dataset (meV/atom): 298
DFT total energy (eV per atom): -6.018
Theoretical density (Mg/m³): 6.51
Calculated formation energy (kJ/mol of atoms): 74.9


(2)
Hf5TiTe4 | PBE | optimized geometry

Unit cell a=8.6276 b=8.8008 c=6.6852 alpha=90.00 beta=90.00 gamma=90.00
Space group Pmmn (No. 59, origin choice 2)
Asymmetric unit:
Hf  0.0786  0.0612  0.2069 x8
Hf  0.2500  0.7500  0.1845 x2
Ti  0.2500  0.2500  0.9001 x2
Te  0.0204  0.2500  0.5707 x4
Te  0.2500  0.5560  0.8471 x4

DFT total energy (eV per atom): -7.267
Theoretical density (Mg/m³): 9.49


(3)
KBaMnCl5 | PBE | optimized geometry

Unit cell a=9.3331 b=12.5998 c=10.6909 alpha=90.00 beta=111.19 gamma=90.00
Space group C2/c (No. 15)
Asymmetric unit:
K  0.0000  0.1472  0.2500 x4
Ba  0.0000  0.5000  0.0000 x4
Mn  0.0000  0.1805  0.7500 x4
Cl  0.0000  0.3906  0.2500 x4
Cl  0.1369  0.2924  0.6548 x8
Cl  0.1524  0.0644  0.9211 x8

DFT total energy (eV per atom): -4.508
Theoretical density (Mg/m³): 2.32


(4)
Nd2SmRh | PBE | optimized geometry

Unit cell a=3.9387 b=3.9387 c=28.2106 alpha=90.00 beta=90.00 gamma=120.00
Space group R3m (No. 160, hexagonal axes)
Asymmetric unit:
Nd  0.0000  0.0000  0.0000 x3
Nd  0.0000  0.0000  0.2137 x3
Sm  0.0000  0.0000  0.7728 x3
Rh  0.0000  0.0000  0.6072 x3

Energy above the most stable polymorph in this dataset (meV/atom): 166
DFT total energy (eV per atom): -5.668
Theoretical density (Mg/m³): 7.12
Calculated formation energy (kJ/mol of atoms): -25.7


(5)
NpMnS2 | PBE | optimized geometry

Unit cell a=6.6030 b=6.8754 c=6.7325 alpha=90.00 beta=101.85 gamma=90.00
Space group P2_1/c (No. 14)
Asymmetric unit:
Np  0.1995  0.0597  0.3001 x4
Mn  0.3000  0.6076  0.3097 x4
S  0.0849  0.7425  0.5140 x4
S  0.4365  0.1586  0.6788 x4

Energy above the most stable polymorph in this dataset (meV/atom): 0
DFT total energy (eV per atom): -8.593
Theoretical density (Mg/m³): 7.91


(6)
Pm3Ho12Sb5 | PBE | optimized geometry

Unit cell a=18.2665 b=18.2665 c=18.2665 alpha=90.00 beta=90.00 gamma=90.00
Space group Ia-3d (No. 230)
Asymmetric unit:
Pm  0.0000  0.2500  0.1250 x24
Ho  0.0234  0.0743  0.6473 x96
Sb  0.0000  0.0000  0.0000 x16
Sb  0.0000  0.2500  0.3750 x24

DFT total energy (eV per atom): -4.380
Theoretical density (Mg/m³): 6.59